Record 1
# CsSr3Bi

An optimized crystal structure of CsSr3Bi (GGA-PBEsol, Alexandria via LeMat-Bulk).

Lattice parameters (Å, degrees): 5.9672 5.9672 5.9672 90.00 90.00 90.00
With the nearest neighbours (Å) after each atom.
Space group Pm-3m (No. 221)
One atom of each set of equivalent atoms:
Cs: 0.0000 0.0000 0.0000  6 Sr 2.98
Sr: 0.0000 0.0000 0.5000  2 Cs 2.98
Bi: 0.5000 0.5000 0.5000  12 Sr 4.22

Output
The calculation puts the formation energy at 0.74 eV per atom. The value obtained for the spin magnetization is 0.096 μB/atom.

Record 2
# YTaO2

An optimized crystal structure of YTaO2 (GGA-PBEsol, Alexandria via LeMat-Bulk).

Lattice parameters (Å, degrees): 3.5047 3.5047 17.5538 90.00 90.00 120.00
With the nearest neighbours (Å) after each atom.
Space group R-3m (No. 166, hexagonal axes)
One atom of each set of equivalent atoms:
Y: 0.0000 0.0000 0.0000  6 O 2.24
Ta: 0.0000 0.0000 0.5000  2 O 1.96
O: 0.0000 0.0000 0.3886  1 Ta 1.96

Output
The value obtained for the spin magnetization is 0.000 μB/atom. The value obtained for the formation energy without anion corrections is -2.354 eV/atom.

Record 3
# CrSi2Ru

An optimized crystal structure of CrSi2Ru (GGA-PBEsol, Alexandria via LeMat-Bulk).

Lattice parameters (Å, degrees): 3.5492 3.5492 7.8330 90.00 90.00 90.00
With the nearest neighbours (Å) after each atom.
Space group I-4m2 (No. 119)
One atom of each set of equivalent atoms:
Cr: 0.0000 0.0000 0.0000  8 Si 2.51-2.64, 4 Ru 2.64
Si: 0.0000 0.0000 0.5000  4 Cr 2.51, 4 Ru 2.64, 4 Si 2.64
Si: 0.0000 0.5000 0.7500  4 Ru 2.51, 4 Cr 2.64, 4 Si 2.64
Ru: 0.0000 0.5000 0.2500  8 Si 2.51-2.64, 4 Cr 2.64

Output
The value obtained for the spin magnetization is 0.494 μB/atom. The value obtained for the formation energy without anion corrections is -0.234 eV/atom.